{"formula": "Fe2CoO4", "functional": "SCAN", "state": "single point on PBEsol structure", "lattice": [[-1.065, 1.065, 5.454], [-4.769, -1.906, 2.376], [0.209, -4.192, 3.795]], "species": ["Fe", "Fe", "Fe", "Fe", "Co", "Co", "O", "O", "O", "O", "O", "O", "O", "O"], "frac_coords": [[0.625, 0.125, 0.625], [0.625, 0.625, 0.125], [0.625, 0.625, 0.625], [0.125, 0.625, 0.625], [0.250, 0.250, 0.250], [0.000, 0.000, 0.000], [0.864, 0.408, 0.864], [0.864, 0.864, 0.408], [0.864, 0.864, 0.864], [0.408, 0.864, 0.864], [0.386, 0.842, 0.386], [0.386, 0.386, 0.842], [0.386, 0.386, 0.386], [0.842, 0.386, 0.386]], "total_energy_ev_per_atom": -12.6658, "space_group": "Fd-3m", "crystal_system": "cubic", "volume_a3_per_fu": 64, "magmom_total_mub_per_cell": 10.0}

{"formula": "FeCo2O4", "functional": "SCAN", "state": "single point on PBEsol structure", "lattice": [[5.668, -0.119, 0.060], [-2.863, 4.892, -0.060], [2.787, 1.573, 4.679]], "species": ["Fe", "Fe", "Co", "Co", "Co", "Co", "O", "O", "O", "O", "O", "O", "O", "O"], "frac_coords": [[0.500, 0.500, 0.000], [0.000, 0.000, 0.000], [0.500, 0.000, 0.000], [0.750, 0.373, 0.377], [0.250, 0.627, 0.623], [0.000, 0.000, 0.500], [0.979, 0.214, 0.764], [0.521, 0.757, 0.764], [0.981, 0.764, 0.755], [0.519, 0.764, 0.217], [0.481, 0.236, 0.783], [0.019, 0.236, 0.245], [0.479, 0.243, 0.236], [0.021, 0.786, 0.236]], "total_energy_ev_per_atom": -12.5866, "space_group": "Imma", "crystal_system": "orthorhombic", "volume_a3_per_fu": 64, "magmom_total_mub_per_cell": 4.0}

{"formula": "FeCoP2O8", "functional": "SCAN", "state": "single point on PBEsol structure", "lattice": [[-3.661, 0.313, 2.958], [3.123, -2.445, 4.125], [3.085, 8.764, 2.860]], "species": ["Fe", "Fe", "Co", "Co", "P", "P", "P", "P", "O", "O", "O", "O", "O", "O", "O", "O", "O", "O", "O", "O", "O", "O", "O", "O"], "frac_coords": [[0.547, 0.750, 0.774], [0.453, 0.250, 0.226], [0.066, 0.250, 0.718], [0.934, 0.750, 0.282], [0.601, 0.250, 0.900], [0.089, 0.750, 0.588], [0.911, 0.250, 0.412], [0.399, 0.750, 0.100], [0.347, 0.750, 0.945], [0.278, 0.250, 0.878], [0.753, 0.041, 0.827], [0.753, 0.459, 0.827], [0.240, 0.958, 0.666], [0.240, 0.542, 0.666], [0.771, 0.750, 0.609], [0.830, 0.250, 0.564], [0.170, 0.750, 0.436], [0.229, 0.250, 0.391], [0.760, 0.042, 0.334], [0.760, 0.458, 0.334], [0.247, 0.541, 0.173], [0.247, 0.959, 0.173], [0.722, 0.750, 0.122], [0.653, 0.250, 0.055]], "total_energy_ev_per_atom": -10.8449, "space_group": "P2_1/m", "crystal_system": "monoclinic", "volume_a3_per_fu": 131, "magmom_total_mub_per_cell": 14.0}

{"formula": "Fe3CoP4O16", "functional": "SCAN", "state": "single point on PBEsol structure", "lattice": [[-0.799, 4.694, 0.421], [-1.996, 0.147, -5.429], [-9.062, -1.856, 3.281]], "species": ["P", "P", "P", "P", "Co", "Fe", "Fe", "Fe", "O", "O", "O", "O", "O", "O", "O", "O", "O", "O", "O", "O", "O", "O", "O", "O"], "frac_coords": [[0.913, 0.500, 0.405], [0.598, 0.500, 0.905], [0.403, 0.000, 0.102], [0.091, 0.000, 0.590], [0.928, 0.000, 0.283], [0.541, 0.000, 0.774], [0.451, 0.500, 0.224], [0.045, 0.500, 0.724], [0.840, 0.500, 0.556], [0.764, 0.293, 0.329], [0.764, 0.707, 0.329], [0.777, 0.000, 0.616], [0.723, 0.000, 0.123], [0.745, 0.293, 0.831], [0.745, 0.707, 0.831], [0.658, 0.500, 0.057], [0.355, 0.000, 0.947], [0.253, 0.792, 0.172], [0.253, 0.208, 0.172], [0.283, 0.500, 0.878], [0.227, 0.500, 0.384], [0.242, 0.794, 0.665], [0.242, 0.206, 0.665], [0.158, 0.000, 0.437]], "total_energy_ev_per_atom": -10.9508, "space_group": "Pm", "crystal_system": "monoclinic", "volume_a3_per_fu": 271, "magmom_total_mub_per_cell": 17.0}

{"formula": "V3FeCo2P6O24", "functional": "SCAN", "state": "single point on PBEsol structure", "lattice": [[8.514, -0.377, -0.269], [3.804, 7.626, -0.269], [3.804, 2.239, 7.295]], "species": ["V", "V", "V", "Fe", "Co", "Co", "P", "P", "P", "P", "P", "P", "O", "O", "O", "O", "O", "O", "O", "O", "O", "O", "O", "O", "O", "O", "O", "O", "O", "O", "O", "O", "O", "O", "O", "O"], "frac_coords": [[0.897, 0.897, 0.897], [0.045, 0.045, 0.045], [0.511, 0.511, 0.511], [0.402, 0.402, 0.402], [0.156, 0.156, 0.156], [0.738, 0.738, 0.738], [0.347, 0.783, 0.798], [0.798, 0.347, 0.783], [0.783, 0.798, 0.347], [0.107, 0.293, 0.455], [0.293, 0.455, 0.107], [0.455, 0.107, 0.293], [0.486, 0.863, 0.772], [0.772, 0.486, 0.863], [0.863, 0.772, 0.486], [0.669, 0.377, 0.690], [0.344, 0.628, 0.005], [0.165, 0.472, 0.308], [0.690, 0.669, 0.377], [0.308, 0.165, 0.472], [0.390, 0.030, 0.213], [0.472, 0.308, 0.165], [0.906, 0.843, 0.150], [0.030, 0.213, 0.390], [0.005, 0.344, 0.628], [0.377, 0.690, 0.669], [0.609, 0.305, 0.458], [0.628, 0.005, 0.344], [0.305, 0.458, 0.609], [0.843, 0.150, 0.906], [0.458, 0.609, 0.305], [0.213, 0.390, 0.030], [0.150, 0.906, 0.843], [0.942, 0.245, 0.101], [0.245, 0.101, 0.942], [0.101, 0.942, 0.245]], "total_energy_ev_per_atom": -10.6607, "space_group": "R3", "crystal_system": "trigonal", "volume_a3_per_fu": 495, "magmom_total_mub_per_cell": 5.1}

{"formula": "TiFe2CoOs", "functional": "SCAN", "state": "single point on PBEsol structure", "lattice": [[4.046, 0.000, 0.000], [0.000, 4.137, 0.000], [0.000, 0.000, 4.137]], "species": ["Co", "Os", "Fe", "Fe", "Ti"], "frac_coords": [[0.500, 0.000, 0.000], [0.500, 0.500, 0.500], [0.000, 0.000, 0.500], [0.000, 0.500, 0.000], [0.000, 0.000, 0.000]], "ef_ev_per_atom": 1.48, "total_energy_ev_per_atom": -26.8178, "space_group": "P4/mmm", "crystal_system": "tetragonal", "volume_a3_per_fu": 69, "magmom_total_mub_per_cell": 6.4}